No. 1
Computed, not measured: crystalline BP2S2 at its relaxed geometry at the GGA-PBEsol level of DFT.

abc: 4.404 4.404 4.527
angles: 90.00 90.00 90.00
Space group P4/mmm (No. 123)
Unique sites:
B1 0.000 0.000 0.000 x1
P1 0.000 0.500 0.500 x2
S1 0.500 0.500 0.000 x1
S2 0.500 0.500 0.500 x1

The value obtained for the total DFT energy (no corrections) is -3.821 eV/atom. Its total magnetization is 0.00 μB per cell. The calculation puts the theoretical density at 2.59 g/cm³. The value obtained for the energy above the most stable polymorph in this dataset is 275 meV per atom. Its formation energy (no corrections) is 1.653 eV/atom.

---

No. 2
Computed, not measured: crystalline B3PS at its relaxed geometry at the GGA-PBEsol level of DFT.

abc: 3.781 3.781 3.781
angles: 90.00 90.00 90.00
Space group Pm-3m (No. 221)
Unique sites:
B1 0.000 0.000 0.500 x3
P1 0.500 0.500 0.500 x1
S1 0.000 0.000 0.000 x1

The value obtained for the total DFT energy (no corrections) is -4.637 eV/atom. Its total magnetization is 0.00 μB per cell. The calculation puts the theoretical density at 2.93 g/cm³. Its formation energy (no corrections) is 1.608 eV/atom.

---

No. 3
Computed, not measured: crystalline BP2S2 at its relaxed geometry at the GGA-PBEsol level of DFT.

abc: 4.401 4.401 4.431
angles: 90.00 90.00 90.00
Space group P4/mmm (No. 123)
Unique sites:
B1 0.000 0.000 0.000 x1
P1 0.500 0.500 0.000 x1
P2 0.500 0.500 0.500 x1
S1 0.000 0.500 0.500 x2

The value obtained for the total DFT energy (no corrections) is -4.096 eV/atom. Its total magnetization is 0.00 μB per cell. The calculation puts the theoretical density at 2.65 g/cm³. The value obtained for the energy above the most stable polymorph in this dataset is 0 meV per atom. Its formation energy (no corrections) is 1.377 eV/atom.

---

No. 4
Computed, not measured: crystalline ScBP2S at its relaxed geometry at the GGA-PBEsol level of DFT.

abc: 4.874 4.874 4.767
angles: 90.00 90.00 90.00
Space group P4/mmm (No. 123)
Unique sites:
Sc1 0.000 0.000 0.000 x1
B1 0.500 0.500 0.500 x1
P1 0.000 0.500 0.000 x2
S1 0.000 0.000 0.500 x1

The value obtained for the total DFT energy (no corrections) is -4.754 eV/atom. Its total magnetization is 0.00 μB per cell. The calculation puts the theoretical density at 2.20 g/cm³. Its formation energy (no corrections) is 1.163 eV/atom.